# AlCoO2 GGA+U optimized geometry
# N(E_F)	0.0000	states/eV per atom
# calculated density	4.9	g cm⁻³
# raw total energy	-5.861	eV/atom
data_AlCoO2
_symmetry_space_group_name_H-M 'R -3 m'
_symmetry_Int_Tables_number 166
_symmetry_space_group_name_Hall '-R 3 2"'
_cell_length_a 2.8392
_cell_length_b 2.8392
_cell_length_c 17.3399
_cell_angle_alpha 90.00
_cell_angle_beta 90.00
_cell_angle_gamma 120.00
loop_
_atom_site_label
_atom_site_type_symbol
_atom_site_fract_x
_atom_site_fract_y
_atom_site_fract_z
_atom_site_occupancy
Al1 Al 0.0000 0.0000 0.0000 1
Co1 Co 0.0000 0.0000 0.5000 1
O1 O 0.0000 0.0000 0.1091 1